(1)
Material: Co2SnH2
Method: DFT, PBE-GGA
State: optimized geometry

Cell lengths 3.4967, 3.4967, 4.7897 Å; angles 68.59, 68.59, 90.00 degrees
Fractional coordinates of all 5 atoms:
Co 0.2500 0.7500 0.5000
H 0.6925 0.6925 0.6150
Co 0.7500 0.2500 0.5000
H 0.3075 0.3075 0.3850
Sn 0.0000 0.0000 0.0000

Values from the calculation:
- Magnetic moment: 0.5 μB per cell
- Electronic total energy: -24.514 eV per cell
- Space group: I4/mmm
- E above lowest polymorph: 0 meV/atom
- V: 50.2 Å³ per cell
- Crystal system: tetragonal

=====

(2)
Material: CoSnH3
Method: DFT, PBE-GGA
State: optimized geometry

Cell lengths 3.9201, 3.9201, 3.9201 Å; angles 90.00, 90.00, 90.00 degrees
Fractional coordinates of all 5 atoms:
H 0.0000 0.0000 0.5000
H 0.0000 0.5000 0.0000
H 0.5000 0.0000 0.0000
Co 0.5000 0.5000 0.5000
Sn 0.0000 0.0000 0.0000

Values from the calculation:
- Magnetic moment: 2.1 μB per cell
- Electronic total energy: -15.858 eV per cell
- Space group: Pm-3m
- E above lowest polymorph: 1036 meV/atom
- V: 60.2 Å³ per cell
- Crystal system: cubic

=====

(3)
Material: CoSnH3
Method: DFT, PBE-GGA
State: optimized geometry

Cell lengths 4.6240, 4.7210, 4.6281 Å; angles 90.00, 116.33, 90.00 degrees
Fractional coordinates of all 10 atoms:
H 0.8205 0.1976 0.5842
H 0.2139 0.6976 0.9764
Co 0.9296 0.4476 0.8682
H 0.2138 0.1976 0.9764
Co 0.1047 0.9476 0.6923
Sn 0.7469 0.9476 0.0512
H 0.3008 0.9476 0.4991
Sn 0.2875 0.4476 0.5094
H 0.7335 0.4477 0.0615
H 0.8205 0.6976 0.5842

Values from the calculation:
- Magnetic moment: 0.0 μB per cell
- Electronic total energy: -42.075 eV per cell
- Space group: P2_1/m
- E above lowest polymorph: 0 meV/atom
- V: 90.5 Å³ per cell
- Crystal system: monoclinic

=====

(4)
Material: CoSnH3
Method: DFT, PBE-GGA
State: optimized geometry

Cell lengths 4.5259, 6.4931, 6.3199 Å; angles 88.03, 90.00, 90.00 degrees
Fractional coordinates of all 20 atoms:
Sn 0.2499 0.9331 0.1759
H 0.8138 0.6753 0.7273
Sn 0.7501 0.0669 0.8241
Co 0.0567 0.8103 0.5753
H 0.3269 0.7163 0.4530
H 0.6969 0.4553 0.9499
H 0.6862 0.1753 0.2273
H 0.8031 0.9553 0.4499
Sn 0.7499 0.5669 0.3241
H 0.8269 0.7837 0.0470
H 0.1969 0.0447 0.5501
H 0.3138 0.8247 0.7727
Co 0.5567 0.6897 0.9247
H 0.1731 0.2163 0.9530
H 0.3031 0.5447 0.0501
Co 0.9433 0.1897 0.4247
Co 0.4433 0.3103 0.0753
Sn 0.2501 0.4331 0.6759
H 0.1862 0.3247 0.2727
H 0.6731 0.2837 0.5470

Values from the calculation:
- Magnetic moment: 0.0 μB per cell
- Electronic total energy: -81.738 eV per cell
- Space group: P2_1/c
- E above lowest polymorph: 121 meV/atom
- V: 185.6 Å³ per cell
- Crystal system: monoclinic

=====

(5)
Material: CoSn2H
Method: DFT, PBE-GGA
State: optimized geometry

Cell lengths 4.8990, 4.8990, 7.2141 Å; angles 70.15, 70.15, 90.00 degrees
Fractional coordinates of all 8 atoms:
H 0.2500 0.7500 0.5000
Sn 0.3750 0.4210 0.7500
Co 0.0000 0.0000 0.0000
Sn 0.8750 0.8290 0.7500
Sn 0.5790 0.1250 0.2500
H 0.5000 0.5000 0.0000
Sn 0.1710 0.6250 0.2500
Co 0.7500 0.2500 0.5000

Values from the calculation:
- Magnetic moment: 0.0 μB per cell
- Electronic total energy: -32.640 eV per cell
- Space group: I-42d
- E above lowest polymorph: 117 meV/atom
- V: 151.9 Å³ per cell
- Crystal system: tetragonal

=====

(6)
Material: Co2SnH2
Method: DFT, PBE-GGA
State: optimized geometry

Cell lengths 3.1234, 3.1234, 5.1921 Å; angles 72.50, 72.50, 90.00 degrees
Fractional coordinates of all 5 atoms:
Co 0.6574 0.6574 0.6851
H 0.2500 0.7500 0.5000
H 0.7500 0.2500 0.5000
Co 0.3426 0.3426 0.3149
Sn 0.0000 0.0000 0.0000

Values from the calculation:
- Magnetic moment: 0.0 μB per cell
- Electronic total energy: -24.437 eV per cell
- Space group: I4/mmm
- E above lowest polymorph: 15 meV/atom
- V: 45.8 Å³ per cell
- Crystal system: tetragonal

=====

(7)
Material: CoSn2H
Method: DFT, PBE-GGA
State: optimized geometry

Cell lengths 4.4275, 4.4275, 4.4275 Å; angles 60.00, 60.00, 60.00 degrees
Fractional coordinates of all 4 atoms:
Sn 0.2500 0.2500 0.2500
H 0.0000 0.0000 0.0000
Sn 0.7500 0.7500 0.7500
Co 0.5000 0.5000 0.5000

Values from the calculation:
- Magnetic moment: 0.0 μB per cell
- Electronic total energy: -16.786 eV per cell
- Space group: Fm-3m
- E above lowest polymorph: 0 meV/atom
- V: 61.4 Å³ per cell
- Crystal system: cubic

=====

(8)
Material: Co2SnH2
Method: DFT, PBE-GGA
State: optimized geometry

Cell lengths 5.8710, 5.8710, 2.8423 Å; angles 90.00, 90.00, 90.00 degrees
Fractional coordinates of all 10 atoms:
H 0.0617 0.4383 0.0000
H 0.4383 0.9383 0.0000
Co 0.1477 0.6477 0.5000
H 0.5617 0.0617 0.0000
Co 0.8523 0.3523 0.5000
Sn 0.5000 0.5000 0.0000
Co 0.3523 0.1477 0.5000
Co 0.6477 0.8523 0.5000
Sn 0.0000 0.0000 0.0000
H 0.9383 0.5617 0.0000

Values from the calculation:
- Magnetic moment: 0.0 μB per cell
- Electronic total energy: -45.631 eV per cell
- Space group: P4/mbm
- E above lowest polymorph: 340 meV/atom
- V: 98.0 Å³ per cell
- Crystal system: tetragonal

=====

(9)
Material: CoSnH3
Method: DFT, PBE-GGA
State: optimized geometry

Cell lengths 3.5413, 3.5413, 3.5413 Å; angles 90.00, 90.00, 90.00 degrees
Fractional coordinates of all 5 atoms:
H 0.5000 0.0000 0.0000
Sn 0.5000 0.5000 0.5000
H 0.0000 0.0000 0.5000
Co 0.0000 0.0000 0.0000
H 0.0000 0.5000 0.0000

Values from the calculation:
- Magnetic moment: 0.0 μB per cell
- Electronic total energy: -19.844 eV per cell
- Space group: Pm-3m
- E above lowest polymorph: 239 meV/atom
- V: 44.4 Å³ per cell
- Crystal system: cubic

=====

(10)
Material: Ta2CoSnH
Method: DFT, PBE-GGA
State: optimized geometry

Cell lengths 4.0464, 4.0464, 4.2380 Å; angles 90.00, 90.00, 90.00 degrees
Fractional coordinates of all 5 atoms:
H 0.0000 0.0000 0.0000
Ta 0.0000 0.5000 0.0000
Ta 0.5000 0.0000 0.0000
Sn 0.5000 0.5000 0.5000
Co 0.0000 0.0000 0.5000

Values from the calculation:
- Magnetic moment: 0.7 μB per cell
- Electronic total energy: -38.130 eV per cell
- Space group: P4/mmm
- E above lowest polymorph: 0 meV/atom
- V: 69.4 Å³ per cell
- Crystal system: tetragonal

=====

(11)
Material: CoTc2SnH
Method: DFT, PBE-GGA
State: optimized geometry

Cell lengths 3.9383, 3.9383, 4.0025 Å; angles 90.00, 90.00, 90.00 degrees
Fractional coordinates of all 5 atoms:
Tc 0.5000 0.0000 0.0000
Sn 0.5000 0.5000 0.5000
Co 0.0000 0.0000 0.5000
Tc 0.0000 0.5000 0.0000
H 0.0000 0.0000 0.0000

Values from the calculation:
- Magnetic moment: 0.9 μB per cell
- Electronic total energy: -34.190 eV per cell
- Space group: P4/mmm
- V: 62.1 Å³ per cell
- Crystal system: tetragonal

=====

(12)
Material: TlCoSn2H
Method: DFT, PBE-GGA
State: optimized geometry

Cell lengths 4.5200, 4.7742, 4.5200 Å; angles 90.00, 90.00, 90.00 degrees
Fractional coordinates of all 5 atoms:
H 0.0000 0.0000 0.0000
Co 0.5000 0.5000 0.5000
Sn 0.5000 0.0000 0.0000
Sn 0.0000 0.0000 0.5000
Tl 0.0000 0.5000 0.0000

Values from the calculation:
- Magnetic moment: 1.6 μB per cell
- Electronic total energy: -17.661 eV per cell
- Space group: P4/mmm
- V: 97.5 Å³ per cell
- Crystal system: tetragonal

=====

- The highest magnetic moment belongs to which entry?
  number 2